Entry 1:
This record from Alexandria via LeMat-Bulk describes an optimized crystal structure of Pm3NdSm. The functional is GGA-PBE.

Output
- calculated formation energy (eV per atom) = 0.298
- crystal system = monoclinic
- relative energy among the computed polymorphs (meV/atom) = 117.0

The structure in POSCAR format:
```
Pm3NdSm
1.0
3.6414 0.0000 0.0000
0.0000 11.9071 0.0000
-1.7936 0.0000 8.5695
Pm Nd Sm
6 2 2
direct
0.1499 0.2500 0.2930 Pm
0.3458 0.9996 0.6970 Pm
0.3458 0.5004 0.6970 Pm
0.6542 0.0004 0.3030 Pm
0.6542 0.4996 0.3030 Pm
0.8501 0.7500 0.7070 Pm
0.1886 0.7500 0.3784 Nd
0.8114 0.2500 0.6216 Nd
0.4867 0.2500 0.9635 Sm
0.5133 0.7500 0.0365 Sm
```

Entry 2:
This record from Alexandria via LeMat-Bulk describes an optimized crystal structure of Tb2PmY5. The functional is GGA-PBE.

Output
- calculated formation energy (eV per atom) = 0.018
- crystal system = orthorhombic

The structure in POSCAR format:
```
Tb2PmY5
1.0
7.1621 0.0000 0.0000
0.0000 14.3317 0.0000
0.0000 0.0000 5.0473
Tb Pm Y
4 2 10
direct
0.2499 0.1251 0.0000 Tb
0.2501 0.6251 0.0000 Tb
0.7499 0.3749 0.0000 Tb
0.7501 0.8749 0.0000 Tb
0.0000 0.0000 0.5000 Pm
0.5000 0.5000 0.5000 Pm
0.9998 0.2502 0.5000 Y
0.0000 0.5000 0.5000 Y
0.0002 0.7498 0.5000 Y
0.2502 0.3747 0.0000 Y
0.2498 0.8747 0.0000 Y
0.5000 0.0000 0.5000 Y
0.4998 0.2498 0.5000 Y
0.5002 0.7502 0.5000 Y
0.7502 0.1253 0.0000 Y
0.7498 0.6253 0.0000 Y
```

Entry 3:
This record from Alexandria via LeMat-Bulk describes an optimized crystal structure of MgTi3Pd12. The functional is GGA-PBE.

Output
- calculated formation energy (eV per atom) = -0.622
- crystal system = tetragonal

The structure in POSCAR format:
```
MgTi3Pd12
1.0
3.9403 0.0000 0.0000
0.0000 3.9403 0.0000
0.0000 0.0000 15.7127
Mg Ti Pd
1 3 12
direct
0.0000 0.0000 0.0000 Mg
0.0000 0.0000 0.2458 Ti
0.0000 0.0000 0.5000 Ti
0.0000 0.0000 0.7542 Ti
0.0000 0.5000 0.1302 Pd
0.0000 0.5000 0.3769 Pd
0.0000 0.5000 0.6231 Pd
0.0000 0.5000 0.8698 Pd
0.5000 0.0000 0.1302 Pd
0.5000 0.0000 0.3769 Pd
0.5000 0.0000 0.6231 Pd
0.5000 0.0000 0.8698 Pd
0.5000 0.5000 0.0000 Pd
0.5000 0.5000 0.2535 Pd
0.5000 0.5000 0.5000 Pd
0.5000 0.5000 0.7465 Pd
```

Entry 4:
This record from Alexandria via LeMat-Bulk describes an optimized crystal structure of MnSnPd3. The functional is GGA-PBE.

Output
- calculated formation energy (eV per atom) = -0.233
- crystal system = orthorhombic
- relative energy among the computed polymorphs (meV/atom) = 167.5

The structure in POSCAR format:
```
MnSnPd3
1.0
-2.2346 4.6041 4.4317
2.2346 -4.6041 4.4317
2.2346 4.6041 -4.4317
Mn Sn Pd
2 2 6
direct
0.0000 0.0000 0.0000 Mn
0.5000 0.0000 0.5000 Mn
0.2916 0.5416 0.7500 Sn
0.7084 0.4584 0.2500 Sn
0.1087 0.8587 0.2500 Pd
0.1436 0.6608 0.4828 Pd
0.3219 0.3392 0.9828 Pd
0.6781 0.6608 0.0172 Pd
0.8564 0.3392 0.5172 Pd
0.8913 0.1413 0.7500 Pd
```

Entry 5:
This record from Alexandria via LeMat-Bulk describes an optimized crystal structure of Y2UC. The functional is GGA-PBE.

Output
- calculated formation energy (eV per atom) = 0.272
- crystal system = trigonal

The structure in POSCAR format:
```
Y2UC
1.0
1.7027 0.9830 9.7188
-1.7027 0.9830 9.7188
0.0000 -1.9661 9.7188
Y U C
2 1 1
direct
0.1192 0.1192 0.1192 Y
0.8808 0.8808 0.8808 Y
0.0000 0.0000 0.0000 U
0.5000 0.5000 0.5000 C
```

Entry 6:
This record from Alexandria via LeMat-Bulk describes an optimized crystal structure of ZnHg3. The functional is GGA-PBE.

Output
- calculated formation energy (eV per atom) = 0.115
- crystal system = tetragonal
- relative energy among the computed polymorphs (meV/atom) = 46.6

The structure in POSCAR format:
```
ZnHg3
1.0
-2.1064 2.1064 11.0741
2.1064 -2.1064 11.0741
2.1064 2.1064 -11.0741
Zn Hg
2 6
direct
0.1261 0.1261 0.0000 Zn
0.8739 0.8739 0.0000 Zn
0.0000 0.5000 0.5000 Hg
0.2500 0.7500 0.5000 Hg
0.3755 0.3755 0.0000 Hg
0.5000 0.0000 0.5000 Hg
0.6245 0.6245 0.0000 Hg
0.7500 0.2500 0.5000 Hg
```

Entry 7:
This record from Alexandria via LeMat-Bulk describes an optimized crystal structure of Zr2TlNi. The functional is GGA-PBE.

Output
- calculated formation energy (eV per atom) = -0.029
- crystal system = orthorhombic
- relative energy among the computed polymorphs (meV/atom) = 149.8

The structure in POSCAR format:
```
Zr2TlNi
1.0
2.9407 -4.1018 0.0000
2.9407 4.1018 0.0000
0.0000 0.0000 3.2951
Zr Tl Ni
2 1 1
direct
0.0000 0.5000 0.0000 Zr
0.5000 0.0000 0.0000 Zr
0.0000 0.0000 0.5000 Tl
0.5000 0.5000 0.5000 Ni
```

Entry 8:
This record from Alexandria via LeMat-Bulk describes an optimized crystal structure of DyHoTm2S6. The functional is GGA-PBE.

Output
- crystal system = trigonal
- E_form (uncorrected) (eV per atom) = -2.0626

The structure in POSCAR format:
```
DyHoTm2S6
1.0
3.4242 1.9770 6.1303
-3.4242 1.9770 6.1303
0.0000 -3.9539 6.1303
Dy Ho Tm S
1 1 2 6
direct
0.0000 0.0000 0.0000 Dy
0.4994 0.4994 0.4994 Ho
0.2995 0.2995 0.2995 Tm
0.7999 0.7999 0.7999 Tm
0.0939 0.6955 0.4054 S
0.1975 0.5934 0.9035 S
0.4054 0.0939 0.6955 S
0.5934 0.9035 0.1975 S
0.6955 0.4054 0.0939 S
0.9035 0.1975 0.5934 S
```

Entry 9:
This record from Alexandria via LeMat-Bulk describes an optimized crystal structure of RbMg2ReTe. The functional is GGA-PBE.

Output
- crystal system = tetragonal
- E_form (uncorrected) (eV per atom) = 1.0444

The structure in POSCAR format:
```
RbMg2ReTe
1.0
5.2703 0.0000 0.0000
0.0000 5.2703 0.0000
0.0000 0.0000 5.6218
Rb Mg Re Te
1 2 1 1
direct
0.0000 0.0000 0.0000 Rb
0.0000 0.5000 0.5000 Mg
0.5000 0.0000 0.5000 Mg
0.0000 0.0000 0.5000 Re
0.5000 0.5000 0.0000 Te
```

Entry 10:
This record from Alexandria via LeMat-Bulk describes an optimized crystal structure of YWIN2. The functional is GGA-PBE.

Output
- crystal system = tetragonal
- relative energy among the computed polymorphs (meV/atom) = 1386.3
- E_form (uncorrected) (eV per atom) = 1.6481

The structure in POSCAR format:
```
YWIN2
1.0
4.4350 0.0000 0.0000
0.0000 4.4350 0.0000
0.0000 0.0000 6.0821
Y W I N
1 1 1 2
direct
0.0000 0.0000 0.0000 Y
0.5000 0.5000 0.5000 W
0.0000 0.0000 0.5000 I
0.0000 0.5000 0.0000 N
0.5000 0.0000 0.0000 N
```

Entry 11:
This record from Alexandria via LeMat-Bulk describes an optimized crystal structure of Ce2ThSn3. The functional is GGA-PBE.

Output
- calculated formation energy (eV per atom) = -0.464
- crystal system = orthorhombic

The structure in POSCAR format:
```
Ce2ThSn3
1.0
-2.2486 3.1872 6.7667
2.2486 -3.1872 6.7667
2.2486 3.1872 -6.7667
Ce Th Sn
2 1 3
direct
0.1658 0.1658 0.0000 Ce
0.8342 0.8342 0.0000 Ce
0.5000 0.5000 0.0000 Th
0.0000 0.5000 0.5000 Sn
0.3301 0.8301 0.5000 Sn
0.6699 0.1699 0.5000 Sn
```

Entry 12:
This record from Alexandria via LeMat-Bulk describes an optimized crystal structure of BaAsI2O. The functional is GGA-PBE.

Output
- crystal system = tetragonal
- relative energy among the computed polymorphs (meV/atom) = 693.0
- E_form (uncorrected) (eV per atom) = -0.1783

The structure in POSCAR format:
```
BaAsI2O
1.0
6.8344 0.0000 0.0000
0.0000 6.8344 0.0000
0.0000 0.0000 4.5158
Ba As I O
1 1 2 1
direct
0.0000 0.0000 0.0000 Ba
0.5000 0.5000 0.5000 As
0.0000 0.5000 0.0000 I
0.5000 0.0000 0.0000 I
0.0000 0.0000 0.5000 O
```

Entry 13:
This record from Alexandria via LeMat-Bulk describes an optimized crystal structure of HgTe2Br. The functional is GGA-PBE.

Output
- crystal system = tetragonal
- relative energy among the computed polymorphs (meV/atom) = 438.8
- E_form (uncorrected) (eV per atom) = 0.3280

The structure in POSCAR format:
```
HgTe2Br
1.0
5.7672 0.0000 0.0000
0.0000 5.7672 0.0000
0.0000 0.0000 3.3319
Hg Te Br
1 2 1
direct
0.0000 0.0000 0.0000 Hg
0.0000 0.5000 0.5000 Te
0.5000 0.0000 0.5000 Te
0.5000 0.5000 0.0000 Br
```

Entry 14:
This record from Alexandria via LeMat-Bulk describes an optimized crystal structure of ErHfZr2N4. The functional is GGA-PBE.

Output
- crystal system = monoclinic
- E_form (uncorrected) (eV per atom) = -1.7420

The structure in POSCAR format:
```
ErHfZr2N4
1.0
5.6915 0.0000 0.0000
0.0000 3.2723 0.0000
-1.8764 0.0000 5.3768
Er Hf Zr N
1 1 2 4
direct
0.0000 0.0000 0.0000 Er
0.5000 0.5000 0.0000 Hf
0.0000 0.5000 0.5000 Zr
0.5000 0.0000 0.5000 Zr
0.2619 0.0000 0.7565 N
0.2619 0.5000 0.2520 N
0.7381 0.0000 0.2435 N
0.7381 0.5000 0.7480 N
```

Entry 15:
This record from Alexandria via LeMat-Bulk describes an optimized crystal structure of Hg3PdBr. The functional is GGA-PBE.

Output
- crystal system = cubic
- relative energy among the computed polymorphs (meV/atom) = 864.9
- E_form (uncorrected) (eV per atom) = 0.7769

The structure in POSCAR format:
```
Hg3PdBr
1.0
5.8908 0.0000 0.0000
0.0000 5.8908 0.0000
0.0000 0.0000 5.8908
Hg Pd Br
3 1 1
direct
0.0000 0.0000 0.5000 Hg
0.0000 0.5000 0.0000 Hg
0.5000 0.0000 0.0000 Hg
0.5000 0.5000 0.5000 Pd
0.0000 0.0000 0.0000 Br
```

Entry 16:
This record from Alexandria via LeMat-Bulk describes an optimized crystal structure of Te3MoN. The functional is GGA-PBE.

Output
- crystal system = cubic
- relative energy among the computed polymorphs (meV/atom) = 0.0
- E_form (uncorrected) (eV per atom) = 1.0637

The structure in POSCAR format:
```
Te3MoN
1.0
4.6927 0.0000 0.0000
0.0000 4.6927 0.0000
0.0000 0.0000 4.6927
Te Mo N
3 1 1
direct
0.0000 0.0000 0.5000 Te
0.0000 0.5000 0.0000 Te
0.5000 0.0000 0.0000 Te
0.5000 0.5000 0.5000 Mo
0.0000 0.0000 0.0000 N
```

Entry 17:
This record from Alexandria via LeMat-Bulk describes an optimized crystal structure of BaMg8Ag4. The functional is GGA-PBE.

Output
- calculated formation energy (eV per atom) = -0.166
- crystal system = tetragonal

The structure in POSCAR format:
```
BaMg8Ag4
1.0
-5.0558 5.0558 2.8664
5.0558 -5.0558 2.8664
5.0558 5.0558 -2.8664
Ba Mg Ag
1 8 4
direct
0.0000 0.0000 0.0000 Ba
0.0000 0.3491 0.3491 Mg
0.0000 0.6509 0.6509 Mg
0.2773 0.5000 0.7773 Mg
0.3491 0.0000 0.3491 Mg
0.5000 0.2773 0.7773 Mg
0.5000 0.7227 0.2227 Mg
0.6509 0.0000 0.6509 Mg
0.7227 0.5000 0.2227 Mg
0.0000 0.0000 0.5000 Ag
0.0000 0.5000 0.0000 Ag
0.5000 0.0000 0.0000 Ag
0.5000 0.5000 0.5000 Ag
```

Entry 18:
This record from Alexandria via LeMat-Bulk describes an optimized crystal structure of Ca3GaS. The functional is GGA-PBE.

Output
- crystal system = cubic
- relative energy among the computed polymorphs (meV/atom) = 0.0
- E_form (uncorrected) (eV per atom) = -0.8277

The structure in POSCAR format:
```
Ca3GaS
1.0
5.3360 0.0000 0.0000
0.0000 5.3360 0.0000
0.0000 0.0000 5.3360
Ca Ga S
3 1 1
direct
0.0000 0.0000 0.5000 Ca
0.0000 0.5000 0.0000 Ca
0.5000 0.0000 0.0000 Ca
0.5000 0.5000 0.5000 Ga
0.0000 0.0000 0.0000 S
```

Entry 19:
This record from Alexandria via LeMat-Bulk describes an optimized crystal structure of Ac3CeIn8. The functional is GGA-PBE.

Output
- calculated formation energy (eV per atom) = -0.389
- crystal system = trigonal

The structure in POSCAR format:
```
Ac3CeIn8
1.0
3.1276 1.8057 10.2912
-3.1276 1.8057 10.2912
0.0000 -3.6114 10.2912
Ac Ce In
3 1 8
direct
0.0000 0.0000 0.0000 Ac
0.1260 0.1260 0.1260 Ac
0.5026 0.5026 0.5026 Ac
0.6257 0.6257 0.6257 Ce
0.0611 0.5631 0.5631 In
0.0645 0.0645 0.5648 In
0.0645 0.5648 0.0645 In
0.3131 0.3131 0.3131 In
0.5631 0.0611 0.5631 In
0.5631 0.5631 0.0611 In
0.5648 0.0645 0.0645 In
0.8137 0.8137 0.8137 In
```

Entry 20:
This record from Alexandria via LeMat-Bulk describes an optimized crystal structure of Al4Fe. The functional is GGA-PBE.

Output
- calculated formation energy (eV per atom) = 0.403
- crystal system = tetragonal
- relative energy among the computed polymorphs (meV/atom) = 592.4

The structure in POSCAR format:
```
Al4Fe
1.0
-1.7919 1.7919 6.6646
1.7919 -1.7919 6.6646
1.7919 1.7919 -6.6646
Al Fe
4 1
direct
0.0939 0.0939 0.0000 Al
0.2500 0.7500 0.5000 Al
0.7500 0.2500 0.5000 Al
0.9061 0.9061 0.0000 Al
0.5000 0.5000 0.0000 Fe
```

Entry 21:
This record from Alexandria via LeMat-Bulk describes an optimized crystal structure of AcScAs2Rh5. The functional is GGA-PBE.

Output
- calculated formation energy (eV per atom) = -0.607
- crystal system = tetragonal

The structure in POSCAR format:
```
AcScAs2Rh5
1.0
4.1985 0.0000 0.0000
0.0000 4.1985 0.0000
0.0000 0.0000 10.4254
Ac Sc As Rh
1 1 2 5
direct
0.0000 0.0000 0.0000 Ac
0.0000 0.0000 0.5000 Sc
0.5000 0.5000 0.2294 As
0.5000 0.5000 0.7706 As
0.0000 0.5000 0.3375 Rh
0.0000 0.5000 0.6625 Rh
0.5000 0.0000 0.3375 Rh
0.5000 0.0000 0.6625 Rh
0.5000 0.5000 0.0000 Rh
```

Entry 22:
This record from Alexandria via LeMat-Bulk describes an optimized crystal structure of Cu2Ni2Rh. The functional is GGA-PBE.

Output
- calculated formation energy (eV per atom) = 0.224
- crystal system = tetragonal
- relative energy among the computed polymorphs (meV/atom) = 172.0

The structure in POSCAR format:
```
Cu2Ni2Rh
1.0
6.8222 0.0000 0.0000
0.0000 6.8222 0.0000
0.0000 0.0000 2.6462
Cu Ni Rh
4 4 2
direct
0.1728 0.3272 0.0000 Cu
0.3272 0.8272 0.0000 Cu
0.6728 0.1728 0.0000 Cu
0.8272 0.6728 0.0000 Cu
0.1242 0.6242 0.5000 Ni
0.3758 0.1242 0.5000 Ni
0.6242 0.8758 0.5000 Ni
0.8758 0.3758 0.5000 Ni
0.0000 0.0000 0.5000 Rh
0.5000 0.5000 0.5000 Rh
```

Entry 23:
This record from Alexandria via LeMat-Bulk describes an optimized crystal structure of LaSiS3. The functional is GGA-PBE.

Output
- crystal system = cubic
- relative energy among the computed polymorphs (meV/atom) = 1555.2
- E_form (uncorrected) (eV per atom) = 0.1231

The structure in POSCAR format:
```
LaSiS3
1.0
5.4457 0.0000 0.0000
0.0000 5.4457 0.0000
0.0000 0.0000 5.4457
La Si S
1 1 3
direct
0.0000 0.0000 0.0000 La
0.5000 0.5000 0.5000 Si
0.0000 0.0000 0.5000 S
0.0000 0.5000 0.0000 S
0.5000 0.0000 0.0000 S
```

Entry 24:
This record from Alexandria via LeMat-Bulk describes an optimized crystal structure of SrTl4In. The functional is GGA-PBE.

Output
- calculated formation energy (eV per atom) = -0.167
- crystal system = monoclinic
- relative energy among the computed polymorphs (meV/atom) = 0.0

The structure in POSCAR format:
```
SrTl4In
1.0
5.5386 0.0000 0.0000
0.0000 7.5439 0.0000
-2.3070 0.0000 8.8057
Sr Tl In
2 8 2
direct
0.1783 0.2500 0.3429 Sr
0.8217 0.7500 0.6571 Sr
0.0000 0.0000 0.0000 Tl
0.0000 0.5000 0.0000 Tl
0.3315 0.0200 0.6847 Tl
0.3315 0.4800 0.6847 Tl
0.4894 0.7500 0.9868 Tl
0.5106 0.2500 0.0132 Tl
0.6685 0.5200 0.3153 Tl
0.6685 0.9800 0.3153 Tl
0.1869 0.7500 0.3538 In
0.8131 0.2500 0.6462 In
```